The following is a DFT calculation (PBE) of a geometry-optimized KNaTl structure.

Properties
Its space group is Amm2. The formation enthalpy at 0 K comes out at -80 meV/atom. The value obtained for the density of states at the Fermi level is 8.0 states/eV per cell.

Cell and atoms, written as CIF:
```
data_KNaTl
_chemical_formula_sum 'K4 Na4 Tl4'
_space_group_name_H-M_alt 'P 1'
_space_group_IT_number 1
_cell_length_a 6.813
_cell_length_b 6.813
_cell_length_c 11.302
_cell_angle_alpha 90.00
_cell_angle_beta 90.00
_cell_angle_gamma 119.04
loop_
_space_group_symop_operation_xyz
'x,y,z'
loop_
_atom_site_label
_atom_site_type_symbol
_atom_site_fract_x
_atom_site_fract_y
_atom_site_fract_z
Tl1 Tl 0.167 0.833 0.000
K1 K 0.669 0.331 0.168
K2 K 0.332 0.668 0.304
Na1 Na 0.836 0.655 0.500
Na2 Na 0.988 0.012 0.761
K3 K 0.669 0.331 0.832
Na3 Na 0.988 0.012 0.239
Tl2 Tl 0.846 0.154 0.500
Na4 Na 0.345 0.164 0.500
Tl3 Tl 0.174 0.345 0.000
Tl4 Tl 0.655 0.826 0.000
K4 K 0.332 0.668 0.696
```